--- one ---
GaTc2I: optimized geometry, GGA-PBE.

Properties
density	6.78	Mg/m³
calculated volume	24.02	Å³/atom

Cell lengths 5.865, 5.865, 6.959 Å; angles 65.08, 65.08, 90.00 degrees
Atoms (fractional coordinates):
Ga1 0.250 0.750 0.500
Ga2 0.500 0.500 0.000
Tc1 0.139 0.625 0.250
Tc2 0.375 0.389 0.750
Tc3 0.611 0.125 0.250
I1 0.000 0.000 0.000
Tc4 0.875 0.861 0.750
I2 0.750 0.250 0.500



--- two ---
GaTc2I: optimized geometry, GGA-PBE.

Properties
density	10.09	Mg/m³
calculated volume	16.15	Å³/atom

Cell lengths 4.504, 4.504, 4.504 Å; angles 60.00, 60.00, 60.00 degrees
Atoms (fractional coordinates):
Tc1 0.250 0.250 0.250
I1 0.500 0.500 0.500
Tc2 0.750 0.750 0.750
Ga1 0.000 0.000 0.000



Which is most stable, and by how much? two, by 0.647 eV/atom.



--- one ---
GaTcTeI2: optimized geometry, GGA-PBE.

Properties
density	5.37	Mg/m³
calculated volume	33.94	Å³/atom

Cell lengths 5.510, 5.510, 5.590 Å; angles 90.00, 90.00, 90.00 degrees
Each line ends with the local moment (μB).
Atoms (fractional coordinates):
Ga1 0.000 0.000 0.000  -0.01
I1 0.500 0.000 0.000  0.06
I2 0.000 0.500 0.000  0.06
Te1 0.000 0.000 0.500  0.06
Tc1 0.500 0.500 0.500  4.01



--- two ---
GaTcTeI2: optimized geometry, GGA-PBE.

Properties
density	5.48	Mg/m³
calculated volume	33.26	Å³/atom

Cell lengths 5.733, 5.733, 5.060 Å; angles 90.00, 90.00, 90.00 degrees
Each line ends with the local moment (μB).
Atoms (fractional coordinates):
Tc1 0.000 0.000 0.000  0.59
Te1 0.000 0.000 0.500  -0.03
I1 0.500 0.000 0.000  0.01
Ga1 0.500 0.500 0.500  0.01
I2 0.000 0.500 0.000  0.01



Which is most stable, and by how much? two, by 0.577 eV/atom.



--- one ---
Ga2TeI: optimized geometry, GGA-PBE.

Properties
density	5.46	Mg/m³
calculated volume	29.96	Å³/atom

Cell lengths 4.387, 4.387, 7.625 Å; angles 73.28, 73.28, 60.00 degrees
Atoms (fractional coordinates):
I1 0.500 0.500 0.500
Ga1 0.261 0.261 0.218
Ga2 0.739 0.739 0.782
Te1 0.000 0.000 0.000



--- two ---
Ga2TeI: optimized geometry, GGA-PBE.

Properties
density	5.75	Mg/m³
calculated volume	28.45	Å³/atom

Cell lengths 5.439, 5.439, 5.439 Å; angles 60.00, 60.00, 60.00 degrees
Atoms (fractional coordinates):
Ga1 0.250 0.250 0.250
Ga2 0.750 0.750 0.750
I1 0.500 0.500 0.500
Te1 0.000 0.000 0.000



--- three ---
Ga2TeI: optimized geometry, GGA-PBE.

Properties
density	4.78	Mg/m³
calculated volume	34.25	Å³/atom

Cell lengths 7.839, 7.839, 7.114 Å; angles 56.57, 56.57, 90.00 degrees
Atoms (fractional coordinates):
Te1 0.500 0.500 0.000
Ga1 0.148 0.625 0.250
Te2 0.250 0.750 0.500
I1 0.750 0.250 0.500
I2 0.000 0.000 0.000
Ga2 0.375 0.398 0.750
Ga3 0.875 0.852 0.750
Ga4 0.602 0.125 0.250



Which is most stable, and by how much? one, by 0.111 eV/atom.



--- one ---
Ga2Te2I: optimized geometry, GGA-PBE.

Properties
density	5.50	Mg/m³
calculated volume	31.51	Å³/atom

Cell lengths 4.425, 4.425, 8.633 Å; angles 75.15, 75.15, 90.00 degrees
Atoms (fractional coordinates):
Te1 0.250 0.750 0.500
I1 0.000 0.000 0.000
Ga1 0.593 0.593 0.814
Te2 0.750 0.250 0.500
Ga2 0.407 0.407 0.186



--- two ---
Ga2Te2I: optimized geometry, GGA-PBE.

Properties
density	4.26	Mg/m³
calculated volume	40.67	Å³/atom

Cell lengths 8.434, 8.434, 8.262 Å; angles 120.69, 120.69, 90.00 degrees
Atoms (fractional coordinates):
Ga1 0.464 0.163 0.325
I1 0.314 0.814 0.627
Te1 0.651 0.396 0.792
I2 0.064 0.064 0.127
Ga2 0.413 0.611 0.825
Te2 0.141 0.396 0.792
Te3 0.646 0.891 0.292
Ga3 0.413 0.214 0.825
Te4 0.646 0.401 0.292
Ga4 0.861 0.163 0.325



--- three ---
Ga2Te2I: optimized geometry, GGA-PBE.

Properties
density	5.61	Mg/m³
calculated volume	30.88	Å³/atom

Cell lengths 4.776, 4.776, 7.565 Å; angles 71.60, 71.60, 90.00 degrees
Atoms (fractional coordinates):
Te1 0.359 0.359 0.283
I1 0.000 0.000 0.000
Ga1 0.750 0.250 0.500
Te2 0.641 0.641 0.717
Ga2 0.250 0.750 0.500



Which is most stable, and by how much? two, by 0.038 eV/atom.



--- one ---
Ga2Te2I: optimized geometry, GGA-PBE.

Properties
density	4.38	Mg/m³
calculated volume	39.53	Å³/atom

Cell lengths 4.249, 11.866, 14.501 Å; angles 34.65, 90.28, 80.12 degrees
Atoms (fractional coordinates):
Ga1 0.849 0.299 0.912
Ga2 0.851 0.301 0.411
I1 0.003 0.001 0.749
Te1 0.351 0.298 0.295
Te2 0.651 0.703 0.205
Ga3 0.151 0.701 0.088
I2 0.997 0.999 0.251
Ga4 0.149 0.699 0.589
Te3 0.649 0.702 0.705
Te4 0.349 0.297 0.795



--- two ---
Ga2Te2I: optimized geometry, GGA-PBE.

Properties
density	6.47	Mg/m³
calculated volume	26.76	Å³/atom

Cell lengths 8.534, 8.534, 3.674 Å; angles 90.00, 90.00, 90.00 degrees
Atoms (fractional coordinates):
Ga1 0.153 0.347 0.000
Te1 0.148 0.648 0.500
I1 0.500 0.500 0.000
I2 0.000 0.000 0.000
Ga2 0.347 0.847 0.000
Ga3 0.847 0.653 0.000
Te2 0.852 0.352 0.500
Te3 0.648 0.852 0.500
Ga4 0.653 0.153 0.000
Te4 0.352 0.148 0.500



Which is most stable, and by how much? one, by 0.270 eV/atom.



--- one ---
GaTeWI2: optimized geometry, GGA-PBE.

Properties
density	6.03	Mg/m³
calculated volume	34.96	Å³/atom

Cell lengths 5.763, 5.763, 5.262 Å; angles 90.00, 90.00, 90.00 degrees
Each line ends with the local moment (μB).
Atoms (fractional coordinates):
I1 0.000 0.500 0.000  0.03
W1 0.000 0.000 0.000  1.82
I2 0.500 0.000 0.000  0.03
Te1 0.000 0.000 0.500  -0.05
Ga1 0.500 0.500 0.500  0.03



--- two ---
GaTeWI2: optimized geometry, GGA-PBE.

Properties
density	6.37	Mg/m³
calculated volume	33.10	Å³/atom

Cell lengths 5.416, 5.416, 5.642 Å; angles 90.00, 90.00, 90.00 degrees
Each line ends with the local moment (μB).
Atoms (fractional coordinates):
W1 0.500 0.500 0.500  3.37
I1 0.500 0.000 0.000  -0.02
I2 0.000 0.500 0.000  -0.02
Te1 0.000 0.000 0.500  -0.24
Ga1 0.000 0.000 0.000  -0.01



Which is most stable, and by how much? one, by 0.774 eV/atom.